Entry 1:
Compound: CuReGe2
Source: the Open Quantum Materials Database
Functional: PBE
Structure: optimized geometry

Geometry as extended XYZ:
```
4
Lattice="-3.688 -2.379 0.535 -0.904 -1.824 3.924 -3.314 1.582 2.462" Properties=species:S:1:pos:R:3 pbc="T T T"
Re -3.953 -1.310 3.460
Cu -1.976 -0.655 1.730
Ge 0.000 0.000 0.000
Ge -5.929 -1.966 5.190
```

Summary:
magnetic moment = 0.00 μB/f.u.
calculated density = 10.74 g cm⁻³
symmetry = No. 216
energy = -5.67 eV/atom

Entry 2:
Compound: RbSiAuO3
Source: the Open Quantum Materials Database
Functional: PBE
Structure: optimized geometry

Geometry as extended XYZ:
```
24
Lattice="10.242 0.000 0.000 0.000 2.921 0.000 0.000 0.000 11.937" Properties=species:S:1:pos:R:3 pbc="T T T"
O 0.520 0.000 11.112
O 7.729 0.000 6.620
O 2.513 1.461 5.317
O 8.601 1.461 10.592
O 3.480 0.000 7.314
O 2.608 1.461 11.285
O 7.633 0.000 0.652
O 4.601 0.000 5.143
O 1.641 0.000 1.345
O 9.722 1.461 0.825
O 5.640 1.461 6.794
O 6.762 1.461 4.623
Si 6.292 0.000 5.593
Si 3.950 1.461 6.344
Si 1.171 1.461 0.375
Si 9.071 0.000 11.562
Au 6.138 1.461 0.263
Au 9.224 1.461 6.232
Au 1.018 0.000 5.705
Au 4.103 0.000 11.674
Rb 1.439 1.461 8.873
Rb 3.682 1.461 2.905
Rb 8.803 0.000 3.064
Rb 6.559 0.000 9.032
```

Summary:
calculated density = 6.67 g cm⁻³
symmetry = No. 62
energy = -5.66 eV/atom

Entry 3:
Compound: NdSi
Source: the Open Quantum Materials Database
Functional: PBE
Structure: optimized geometry

Geometry as extended XYZ:
```
2
Lattice="1.906 -3.882 -0.155 4.173 -0.550 1.002 1.246 -2.090 3.578" Properties=species:S:1:pos:R:3 pbc="T T T"
Si 3.663 -3.261 2.213
Nd 0.000 0.000 0.000
```

Summary:
magnetic moment = 0.00 μB/f.u.
calculated density = 5.24 g cm⁻³
symmetry = No. 166
energy = -5.52 eV/atom

Entry 4:
Compound: CsPuAs
Source: the Open Quantum Materials Database
Functional: PBE
Structure: optimized geometry

Geometry as extended XYZ:
```
3
Lattice="0.000 3.844 3.844 3.844 0.000 3.844 3.844 3.844 0.000" Properties=species:S:1:pos:R:3 pbc="T T T"
As 0.000 0.000 0.000
Pu 5.767 5.767 5.767
Cs 1.922 1.922 1.922
```

Summary:
magnetic moment = 5.99 μB/f.u.
calculated density = 6.60 g cm⁻³
symmetry = No. 216
energy = -6.55 eV/atom

Entry 5:
Compound: FeBTe
Source: the Open Quantum Materials Database
Functional: PBE
Structure: optimized geometry

Geometry as extended XYZ:
```
3
Lattice="0.000 2.786 2.786 2.786 0.000 2.786 2.786 2.786 0.000" Properties=species:S:1:pos:R:3 pbc="T T T"
Te 4.178 4.178 4.178
B 1.393 1.393 1.393
Fe 0.000 0.000 0.000
```

Summary:
magnetic moment = 0.00 μB/f.u.
calculated density = 7.46 g cm⁻³
symmetry = No. 216
excess energy over the best structure of this formula in the dataset = 0 meV per atom

Entry 6:
Compound: YZrNiB
Source: the Open Quantum Materials Database
Functional: PBE
Structure: optimized geometry

Geometry as extended XYZ:
```
4
Lattice="0.000 3.218 3.218 3.218 0.000 3.218 3.218 3.218 0.000" Properties=species:S:1:pos:R:3 pbc="T T T"
B 0.000 0.000 0.000
Ni 3.218 3.218 3.218
Zr 1.609 1.609 1.609
Y 4.826 4.826 4.826
```

Summary:
magnetic moment = 0.00 μB/f.u.
calculated density = 6.22 g cm⁻³
symmetry = No. 216
energy = -6.81 eV/atom

Entry 7:
Compound: HgTePdO
Source: the Open Quantum Materials Database
Functional: PBE
Structure: optimized geometry

Geometry as extended XYZ:
```
16
Lattice="5.823 0.000 0.000 0.000 6.638 0.000 0.000 0.000 8.175" Properties=species:S:1:pos:R:3 pbc="T T T"
O 0.609 5.175 6.210
O 5.214 1.856 6.052
O 2.303 1.463 2.122
O 3.521 4.783 1.965
Te 1.919 4.057 7.145
Te 3.904 0.738 5.117
Te 0.993 2.582 3.058
Te 4.831 5.901 1.030
Pd 1.406 4.954 1.455
Pd 4.417 1.635 2.632
Pd 1.506 1.684 5.543
Pd 4.317 5.003 6.719
Hg 1.887 0.685 8.038
Hg 1.024 5.953 3.951
Hg 4.799 2.634 0.136
Hg 3.936 4.004 4.224
```

Summary:
calculated density = 9.47 g cm⁻³
symmetry = No. 19
excess energy over the best structure of this formula in the dataset = 0 meV per atom

Entry 8:
Compound: Er2Hf2O7
Source: the Open Quantum Materials Database
Functional: PBE
Structure: optimized geometry

Geometry as extended XYZ:
```
22
Lattice="-2.892 -6.402 -2.102 7.282 0.842 0.208 -3.834 -0.318 6.243" Properties=species:S:1:pos:R:3 pbc="T T T"
O 1.749 -2.199 3.412
O -1.459 -5.258 -1.164
O 3.662 -0.288 2.235
O 2.683 -4.779 -1.045
O -1.193 -3.679 0.937
O 0.502 -4.960 2.506
O 1.946 -3.316 1.026
O 0.053 -0.918 1.843
O 3.930 -2.019 -0.139
O 2.014 -0.620 5.513
O -3.107 -5.590 2.114
O -2.128 -1.099 5.394
O -3.375 -3.860 4.488
O -1.391 -2.562 3.322
Er -1.917 -0.159 3.121
Er 3.641 0.421 0.104
Er -3.363 -3.360 2.070
Er 1.724 0.262 3.226
Hf 2.195 -2.780 -0.947
Hf 0.278 -2.939 2.174
Hf -1.446 -3.201 -1.051
Hf 0.000 0.000 0.000
```

Summary:
magnetic moment = 0.00 μB/f.u.
calculated density = 9.57 g cm⁻³
symmetry = No. 227
energy = -9.36 eV/atom

Entry 9:
Compound: NaCuH3
Source: the Open Quantum Materials Database
Functional: PBE
Structure: optimized geometry

Geometry as extended XYZ:
```
10
Lattice="-0.233 -2.843 3.566 2.872 -4.342 -1.516 4.571 0.941 2.796" Properties=species:S:1:pos:R:3 pbc="T T T"
Cu 4.343 -2.868 4.072
Cu 4.335 -1.758 2.023
H 5.357 -4.183 4.527
H 3.321 -0.442 1.569
H 3.228 -6.401 2.322
H 3.547 -6.346 3.014
H 4.869 -1.364 3.717
H 3.811 -3.262 2.378
Na 5.780 -4.479 2.290
Na 1.938 -4.207 3.433
```

Summary:
calculated density = 2.37 g cm⁻³
symmetry = No. 1
excess energy over the best structure of this formula in the dataset = 0 meV per atom

Entry 10:
Compound: TlTcNiAg
Source: the Open Quantum Materials Database
Functional: PBE
Structure: optimized geometry

Geometry as extended XYZ:
```
4
Lattice="1.657 -3.811 1.872 -0.767 -0.896 4.402 -2.827 -3.375 1.180" Properties=species:S:1:pos:R:3 pbc="T T T"
Ag -0.968 -4.041 3.727
Ni -1.453 -6.062 5.591
Tc -0.484 -2.021 1.864
Tl 0.000 0.000 0.000
```

Summary:
magnetic moment = 2.06 μB/f.u.
calculated density = 11.63 g cm⁻³
symmetry = No. 216
energy = -4.66 eV/atom

Entry 11:
Compound: KFe5
Source: the Open Quantum Materials Database
Functional: PBE
Structure: optimized geometry

Geometry as extended XYZ:
```
6
Lattice="-2.709 2.887 -3.442 -0.067 -5.235 -0.340 -3.061 -0.111 2.316" Properties=species:S:1:pos:R:3 pbc="T T T"
Fe -2.919 -1.229 -0.733
Fe -2.885 1.388 -0.563
Fe -1.564 -2.673 0.988
Fe -0.948 -2.528 -1.374
Fe -1.828 0.180 -2.408
K 0.000 0.000 0.000
```

Summary:
magnetic moment = 12.20 μB/f.u.
calculated density = 5.77 g cm⁻³
symmetry = No. 191
energy = -6.43 eV/atom

Entry 12:
Compound: MgTePtO
Source: the Open Quantum Materials Database
Functional: PBE
Structure: optimized geometry

Geometry as extended XYZ:
```
16
Lattice="6.667 0.000 0.000 0.000 7.556 0.000 0.000 0.000 6.157" Properties=species:S:1:pos:R:3 pbc="T T T"
Te 0.001 7.424 1.798
Te 3.332 0.132 4.877
Te 3.335 3.910 4.359
Te 6.666 3.646 1.281
Mg 3.187 4.157 1.057
Mg 6.520 7.177 5.101
Mg 0.147 3.399 4.136
Mg 3.480 0.379 2.022
Pt 1.626 1.851 0.012
Pt 5.041 5.629 3.067
Pt 4.960 1.927 6.146
Pt 1.707 5.705 3.091
O 3.373 5.958 1.833
O 3.294 2.180 1.246
O 0.040 5.376 4.324
O 6.627 1.598 4.912
```

Summary:
magnetic moment = 0.00 μB/f.u.
calculated density = 7.77 g cm⁻³
symmetry = No. 19
excess energy over the best structure of this formula in the dataset = 354 meV per atom

Entry 13:
Compound: MgTaNiB
Source: the Open Quantum Materials Database
Functional: PBE
Structure: optimized geometry

Geometry as extended XYZ:
```
4
Lattice="0.000 2.936 2.936 2.936 0.000 2.936 2.936 2.936 0.000" Properties=species:S:1:pos:R:3 pbc="T T T"
B 0.000 0.000 0.000
Ni 4.404 4.404 4.404
Ta 1.468 1.468 1.468
Mg 2.936 2.936 2.936
```

Summary:
magnetic moment = 0.00 μB/f.u.
calculated density = 9.01 g cm⁻³
symmetry = No. 216
excess energy over the best structure of this formula in the dataset = 441 meV per atom

Entry 14:
Compound: InReAu3S4
Source: the Open Quantum Materials Database
Functional: PBE
Structure: optimized geometry

Geometry as extended XYZ:
```
9
Lattice="6.173 0.000 0.000 0.000 6.173 0.000 0.000 0.000 6.173" Properties=species:S:1:pos:R:3 pbc="T T T"
In 0.000 0.000 0.000
S 4.420 4.420 1.753
S 1.753 1.753 1.753
S 1.753 4.420 4.420
S 4.420 1.753 4.420
Au 3.086 0.000 3.086
Au 3.086 3.086 0.000
Au 0.000 3.086 3.086
Re 3.086 3.086 3.086
```

Summary:
magnetic moment = 1.21 μB/f.u.
calculated density = 7.20 g cm⁻³
symmetry = No. 215
energy = -4.39 eV/atom

Entry 15:
Compound: UCoMo
Source: the Open Quantum Materials Database
Functional: PBE
Structure: optimized geometry

Geometry as extended XYZ:
```
3
Lattice="-2.034 -3.311 -1.680 -2.932 0.613 -2.992 0.780 -1.158 -3.997" Properties=species:S:1:pos:R:3 pbc="T T T"
U -3.139 -2.893 -6.502
Co 0.000 0.000 0.000
Mo -1.046 -0.964 -2.167
```

Summary:
magnetic moment = 0.03 μB/f.u.
calculated density = 12.16 g cm⁻³
symmetry = No. 216
DFT formation energy = 0.503 eV/atom
excess energy over the best structure of this formula in the dataset = 0 meV per atom

Entry 16:
Compound: PrY2In3AgPt2
Source: the Open Quantum Materials Database
Functional: PBE
Structure: optimized geometry

Geometry as extended XYZ:
```
9
Lattice="-0.986 0.207 3.703 -6.463 -4.308 -1.479 6.776 -3.550 2.002" Properties=species:S:1:pos:R:3 pbc="T T T"
Pr 0.128 -3.226 0.215
Y -3.812 -2.543 -0.872
Y 3.997 -2.095 1.181
In 4.536 -4.581 3.452
In -0.263 -5.678 2.236
In -5.127 -5.135 0.911
Pt 1.915 -3.705 2.706
Pt -2.588 -3.963 1.522
Ag 0.312 -7.845 0.522
```

Summary:
magnetic moment = 0.00 μB/f.u.
calculated density = 9.30 g cm⁻³
symmetry = No. 38
energy = -5.35 eV/atom

Entry 17:
Compound: La2In8Pd
Source: the Open Quantum Materials Database
Functional: PBE
Structure: optimized geometry

Geometry as extended XYZ:
```
11
Lattice="-3.572 -3.097 0.761 -0.041 -1.098 -4.661 8.285 -9.051 2.060" Properties=species:S:1:pos:R:3 pbc="T T T"
In 7.251 -8.494 -0.523
In -0.773 -2.655 0.632
In 5.485 -9.493 2.188
In 2.356 -6.074 1.410
In 0.993 -1.656 -2.079
In 3.931 -8.367 -0.523
In 0.740 -4.880 -1.317
In 4.122 -5.075 -1.301
La 2.557 -2.793 0.636
La 5.728 -6.258 1.424
Pd 0.000 0.000 0.000
```

Summary:
magnetic moment = 0.00 μB/f.u.
calculated density = 7.58 g cm⁻³
symmetry = No. 123
energy = -3.83 eV/atom

What did we get for V? Answer: 61.1 357.1 54.6 113.6 43.2 66.6 316.0 278.8 125.4 67.0 91.5 310.2 50.6 235.2 53.7 207.3 285.3 Å³ per cell, in the order shown.